# VSb2O (GGA+U, optimized geometry)
# - magnetic moment (μB/f.u.) = 2.8
# - calculated total energy (eV per atom) = -4.865
data_VSb2O
_chemical_formula_sum 'V4 Sb8 O4'
_cell_length_a 6.581
_cell_length_b 6.581
_cell_length_c 7.882
_cell_angle_alpha 90.00
_cell_angle_beta 90.00
_cell_angle_gamma 90.00
_symmetry_space_group_name_H-M 'I -4 2 d'
_symmetry_Int_Tables_number 122
_symmetry_space_group_name_Hall 'I -4 2bw'
loop_
_atom_site_label
_atom_site_type_symbol
_atom_site_fract_x
_atom_site_fract_y
_atom_site_fract_z
_atom_site_occupancy
V1 V 0.000 0.000 0.000 1
Sb1 Sb 0.183 0.250 0.625 1
O1 O 0.000 0.000 0.500 1